[1]
Material: TlV2OsO8
Method: DFT, GGA+U
State: optimized geometry

Computed properties:
The value obtained for the density of states at the Fermi level is 2.6 states/eV/cell. For the calculated density, the calculation gives 4967 kg/m³. The size of the total moment is 0.231 μB/atom. The value obtained for the total energy is -7.14 eV per atom.

Cell: 5.3817 5.3817 8.0532 Å, 87.68 87.68 63.66°
Atoms (fractional coordinates):
Tl  0.0000  0.0000  0.5000
V  0.6384  0.6384  0.2003
V  0.3616  0.3616  0.7997
Os  0.0000  0.0000  0.0000
O  0.7294  0.2088  0.8315
O  0.7927  0.7927  0.0614
O  0.6858  0.6858  0.3956
O  0.3142  0.3142  0.6044
O  0.2073  0.2073  0.9386
O  0.2088  0.7294  0.8315
O  0.7912  0.2706  0.1685
O  0.2706  0.7912  0.1685

---

[2]
Material: TlVOsO6
Method: DFT, GGA+U
State: optimized geometry

Computed properties:
The value obtained for the density of states at the Fermi level is 1.0 states/eV/cell. For the calculated density, the calculation gives 6422 kg/m³. The size of the total moment is 0.225 μB/atom. The value obtained for the total energy is -6.88 eV per atom.

Cell: 5.3526 5.2069 5.9254 Å, 88.95 87.59 58.07°
Atoms (fractional coordinates):
Tl  0.0087  0.0018  0.9997
V  0.6654  0.6546  0.4759
Os  0.3351  0.3404  0.5163
O  0.0032  0.3870  0.3244
O  0.4021  0.9942  0.6841
O  0.5995  0.3870  0.6837
O  0.0028  0.6066  0.6820
O  0.3877  0.6089  0.3184
O  0.5953  0.0196  0.3153

---

[3]
Material: TlOsWO6
Method: DFT, GGA+U
State: optimized geometry

Computed properties:
The value obtained for the density of states at the Fermi level is 4.9 states/eV/cell. For the calculated density, the calculation gives 8057 kg/m³. The size of the total moment is 0.165 μB/atom. The value obtained for the total energy is -7.01 eV per atom.

Cell: 7.3852 7.2140 7.3399 Å, 119.43 120.20 90.00°
Atoms (fractional coordinates):
Tl  0.8543  0.6043  0.7087
Tl  0.1457  0.3957  0.2913
Os  0.5000  0.5000  0.0000
Os  0.5000  0.0000  0.0000
W  0.5000  0.0000  0.5000
W  0.0000  0.0000  0.5000
O  0.4475  0.6975  0.8950
O  0.8133  0.0633  0.6265
O  0.8173  0.0739  0.2591
O  0.4418  0.6852  0.2591
O  0.4418  0.0739  0.2591
O  0.8173  0.6852  0.2591
O  0.5525  0.3025  0.1050
O  0.1867  0.9367  0.3735
O  0.1827  0.9261  0.7409
O  0.5582  0.3148  0.7409
O  0.5582  0.9261  0.7409
O  0.1827  0.3148  0.7409